<P>
PrDyEr | PBE-GGA | optimized geometry

Geometry as CIF:
```
data_PrDyEr
_cell_length_a 5.6543
_cell_length_b 5.6543
_cell_length_c 7.0755
_cell_angle_alpha 90.00
_cell_angle_beta 90.00
_cell_angle_gamma 120.00
_space_group_name_H-M_alt 'P 63/m m c'
_space_group_IT_number 194
_space_group_name_Hall '-P 6c 2c'
loop_
_atom_site_label
_atom_site_type_symbol
_atom_site_fract_x
_atom_site_fract_y
_atom_site_fract_z
Pr1 Pr 0.3333 0.6667 0.2500
Dy1 Dy 0.3333 0.6667 0.7500
Er1 Er 0.0000 0.0000 0.0000
```

**Total magnetization**: 0.00 μB per cell



<Q>
PrDyEr | PBE-GGA | optimized geometry

Geometry as CIF:
```
data_PrDyEr
_cell_length_a 6.199
_cell_length_b 10.754
_cell_length_c 6.207
_cell_angle_alpha 90.00
_cell_angle_beta 108.98
_cell_angle_gamma 90.00
_space_group_name_H-M_alt 'C 1 2/c 1'
_space_group_IT_number 15
_space_group_name_Hall '-C 2yc'
loop_
_atom_site_label
_atom_site_type_symbol
_atom_site_fract_x
_atom_site_fract_y
_atom_site_fract_z
Pr1 Pr 0.000 0.250 0.250
Dy1 Dy 0.000 0.082 0.750
Er1 Er 0.000 0.419 0.750
```

**Total magnetization**: 0.00 μB per cell



Result of the stability comparison: <P> is the least stable of them.



<P>
Pr4DyEr | PBE-GGA | optimized geometry

Geometry as CIF:
```
data_Pr4DyEr
_cell_length_a 5.182
_cell_length_b 15.456
_cell_length_c 5.182
_cell_angle_alpha 90.00
_cell_angle_beta 90.00
_cell_angle_gamma 90.00
_space_group_name_H-M_alt 'C m m m'
_space_group_IT_number 65
_space_group_name_Hall '-C 2 2'
loop_
_atom_site_label
_atom_site_type_symbol
_atom_site_fract_x
_atom_site_fract_y
_atom_site_fract_z
Pr1 Pr 0.000 0.164 0.000
Pr2 Pr 0.000 0.335 0.500
Dy1 Dy 0.000 0.500 0.000
Er1 Er 0.000 0.000 0.500
```

**Total magnetization**: 0.00 μB per cell



<Q>
Pr4DyEr | PBE-GGA | optimized geometry

Geometry as CIF:
```
data_Pr4DyEr
_cell_length_a 9.698
_cell_length_b 6.037
_cell_length_c 7.100
_cell_angle_alpha 90.00
_cell_angle_beta 96.94
_cell_angle_gamma 90.00
_space_group_name_H-M_alt 'C 1 2/m 1'
_space_group_IT_number 12
_space_group_name_Hall '-C 2y'
loop_
_atom_site_label
_atom_site_type_symbol
_atom_site_fract_x
_atom_site_fract_y
_atom_site_fract_z
Pr1 Pr 0.166 0.000 0.152
Pr2 Pr 0.167 0.000 0.652
Dy1 Dy 0.000 0.500 0.000
Er1 Er 0.000 0.500 0.500
```

**Total magnetization**: 0.00 μB per cell



Result of the stability comparison: <Q> is the least stable of them.



<P>
Pr2DyEr5 | PBE-GGA | optimized geometry

Geometry as CIF:
```
data_Pr2DyEr5
_cell_length_a 16.161
_cell_length_b 9.866
_cell_length_c 6.556
_cell_angle_alpha 90.00
_cell_angle_beta 99.37
_cell_angle_gamma 90.00
_space_group_name_H-M_alt 'C 1 2/c 1'
_space_group_IT_number 15
_space_group_name_Hall '-C 2yc'
loop_
_atom_site_label
_atom_site_type_symbol
_atom_site_fract_x
_atom_site_fract_y
_atom_site_fract_z
Pr1 Pr 0.080 0.245 0.119
Dy1 Dy 0.250 0.250 0.000
Er1 Er 0.000 0.440 0.750
Er2 Er 0.101 0.088 0.649
Er3 Er 0.199 0.413 0.528
```

**Total magnetization**: 0.00 μB per cell



<Q>
Pr2DyEr5 | PBE-GGA | optimized geometry

Geometry as CIF:
```
data_Pr2DyEr5
_cell_length_a 7.123
_cell_length_b 14.246
_cell_length_c 5.039
_cell_angle_alpha 90.00
_cell_angle_beta 90.00
_cell_angle_gamma 90.00
_space_group_name_H-M_alt 'P b a m'
_space_group_IT_number 55
_space_group_name_Hall '-P 2 2ab'
loop_
_atom_site_label
_atom_site_type_symbol
_atom_site_fract_x
_atom_site_fract_y
_atom_site_fract_z
Pr1 Pr 0.249 0.125 0.000
Dy1 Dy 0.000 0.500 0.500
Er1 Er 0.000 0.000 0.500
Er2 Er 0.001 0.750 0.500
Er3 Er 0.249 0.375 0.000
```

**Total magnetization**: 0.01 μB per cell



Result of the stability comparison: <P> is the least stable of them.



<P>
Pr4Dy3Er | PBE-GGA | optimized geometry

Geometry as CIF:
```
data_Pr4Dy3Er
_cell_length_a 11.674
_cell_length_b 7.354
_cell_length_c 6.329
_cell_angle_alpha 90.00
_cell_angle_beta 90.00
_cell_angle_gamma 90.00
_space_group_name_H-M_alt 'P m n 21'
_space_group_IT_number 31
_space_group_name_Hall 'P 2ac -2'
loop_
_atom_site_label
_atom_site_type_symbol
_atom_site_fract_x
_atom_site_fract_y
_atom_site_fract_z
Pr1 Pr 0.000 0.128 0.000
Pr2 Pr 0.000 0.872 0.496
Pr3 Pr 0.248 0.871 0.835
Dy1 Dy 0.000 0.379 0.501
Dy2 Dy 0.250 0.380 0.832
Er1 Er 0.000 0.619 0.000
```

**Total magnetization**: 0.00 μB per cell



<Q>
Pr4Dy3Er | PBE-GGA | optimized geometry

Geometry as CIF:
```
data_Pr4Dy3Er
_cell_length_a 23.702
_cell_length_b 3.509
_cell_length_c 6.865
_cell_angle_alpha 90.00
_cell_angle_beta 106.60
_cell_angle_gamma 90.00
_space_group_name_H-M_alt 'C 1 2/m 1'
_space_group_IT_number 12
_space_group_name_Hall '-C 2y'
loop_
_atom_site_label
_atom_site_type_symbol
_atom_site_fract_x
_atom_site_fract_y
_atom_site_fract_z
Pr1 Pr 0.123 0.000 0.368
Pr2 Pr 0.241 0.500 0.234
Dy1 Dy 0.000 0.000 0.500
Dy2 Dy 0.122 0.000 0.881
Er1 Er 0.000 0.500 0.000
```

**Total magnetization**: 0.00 μB per cell



Result of the stability comparison: <Q> is the least stable of them.



<P>
Pr2Dy5Er4 | PBE-GGA | optimized geometry

Geometry as CIF:
```
data_Pr2Dy5Er4
_cell_length_a 3.479
_cell_length_b 11.471
_cell_length_c 18.366
_cell_angle_alpha 90.00
_cell_angle_beta 90.00
_cell_angle_gamma 90.00
_space_group_name_H-M_alt 'I m m m'
_space_group_IT_number 71
_space_group_name_Hall '-I 2 2'
loop_
_atom_site_label
_atom_site_type_symbol
_atom_site_fract_x
_atom_site_fract_y
_atom_site_fract_z
Pr1 Pr 0.000 0.000 0.203
Dy1 Dy 0.000 0.288 0.177
Dy2 Dy 0.000 0.500 0.500
Er1 Er 0.000 0.000 0.411
Er2 Er 0.000 0.276 0.000
```

**Total magnetization**: 0.00 μB per cell



<Q>
Pr2Dy5Er4 | PBE-GGA | optimized geometry

Geometry as CIF:
```
data_Pr2Dy5Er4
_cell_length_a 23.777
_cell_length_b 3.457
_cell_length_c 8.727
_cell_angle_alpha 90.00
_cell_angle_beta 97.15
_cell_angle_gamma 90.00
_space_group_name_H-M_alt 'C 1 2/m 1'
_space_group_IT_number 12
_space_group_name_Hall '-C 2y'
loop_
_atom_site_label
_atom_site_type_symbol
_atom_site_fract_x
_atom_site_fract_y
_atom_site_fract_z
Pr1 Pr 0.093 0.000 0.245
Dy1 Dy 0.000 0.500 0.500
Dy2 Dy 0.140 0.000 0.626
Dy3 Dy 0.235 0.000 0.325
Er1 Er 0.046 0.000 0.862
Er2 Er 0.178 0.500 0.974
```

**Total magnetization**: 0.00 μB per cell



Result of the stability comparison: <P> is the least stable of them.



<P>
Pr5Dy2Er2 | PBE-GGA | optimized geometry

Geometry as CIF:
```
data_Pr5Dy2Er2
_cell_length_a 15.229
_cell_length_b 12.957
_cell_length_c 6.253
_cell_angle_alpha 90.00
_cell_angle_beta 90.00
_cell_angle_gamma 90.00
_space_group_name_H-M_alt 'I m a 2'
_space_group_IT_number 46
_space_group_name_Hall 'I 2 -2a'
loop_
_atom_site_label
_atom_site_type_symbol
_atom_site_fract_x
_atom_site_fract_y
_atom_site_fract_z
Pr1 Pr 0.049 0.198 0.000
Pr2 Pr 0.144 0.684 0.845
Pr3 Pr 0.250 0.175 0.754
Dy1 Dy 0.000 0.000 0.413
Dy2 Dy 0.250 0.057 0.278
Er1 Er 0.136 0.550 0.349
```

**Total magnetization**: 0.00 μB per cell



<Q>
Pr5Dy2Er2 | PBE-GGA | optimized geometry

Geometry as CIF:
```
data_Pr5Dy2Er2
_cell_length_a 11.503
_cell_length_b 5.134
_cell_length_c 10.879
_cell_angle_alpha 90.00
_cell_angle_beta 108.40
_cell_angle_gamma 90.00
_space_group_name_H-M_alt 'C 1 2/m 1'
_space_group_IT_number 12
_space_group_name_Hall '-C 2y'
loop_
_atom_site_label
_atom_site_type_symbol
_atom_site_fract_x
_atom_site_fract_y
_atom_site_fract_z
Pr1 Pr 0.000 0.000 0.000
Pr2 Pr 0.165 0.500 0.887
Pr3 Pr 0.166 0.500 0.555
Dy1 Dy 0.001 0.000 0.333
Er1 Er 0.168 0.500 0.224
```

**Total magnetization**: 0.00 μB per cell



Result of the stability comparison: <P> is the least stable of them.



<P>
Pr6Dy2Er3 | PBE-GGA | optimized geometry

Geometry as CIF:
```
data_Pr6Dy2Er3
_cell_length_a 6.282
_cell_length_b 8.087
_cell_length_c 8.121
_cell_angle_alpha 107.28
_cell_angle_beta 97.37
_cell_angle_gamma 104.97
_space_group_name_H-M_alt 'P -1'
_space_group_IT_number 2
_space_group_name_Hall '-P 1'
loop_
_atom_site_label
_atom_site_type_symbol
_atom_site_fract_x
_atom_site_fract_y
_atom_site_fract_z
Pr1 Pr 0.048 0.182 0.408
Pr2 Pr 0.136 0.546 0.231
Pr3 Pr 0.321 0.271 0.866
Dy1 Dy 0.229 0.911 0.047
Er1 Er 0.410 0.639 0.683
Er2 Er 0.500 0.000 0.500
```

**Total magnetization**: 0.00 μB per cell



<Q>
Pr6Dy2Er3 | PBE-GGA | optimized geometry

Geometry as CIF:
```
data_Pr6Dy2Er3
_cell_length_a 4.761
_cell_length_b 4.761
_cell_length_c 34.309
_cell_angle_alpha 90.00
_cell_angle_beta 90.00
_cell_angle_gamma 90.00
_space_group_name_H-M_alt 'I 4/m m m'
_space_group_IT_number 139
_space_group_name_Hall '-I 4 2'
loop_
_atom_site_label
_atom_site_type_symbol
_atom_site_fract_x
_atom_site_fract_y
_atom_site_fract_z
Pr1 Pr 0.000 0.000 0.208
Pr2 Pr 0.000 0.500 0.120
Dy1 Dy 0.000 0.000 0.045
Er1 Er 0.000 0.000 0.307
Er2 Er 0.000 0.000 0.500
```

**Total magnetization**: 0.00 μB per cell



Result of the stability comparison: <Q> is the least stable of them.



<P>
Pr2Dy7Er3 | PBE-GGA | optimized geometry

Geometry as CIF:
```
data_Pr2Dy7Er3
_cell_length_a 6.334
_cell_length_b 3.517
_cell_length_c 17.445
_cell_angle_alpha 90.00
_cell_angle_beta 96.14
_cell_angle_gamma 90.00
_space_group_name_H-M_alt 'P 1 2/m 1'
_space_group_IT_number 10
_space_group_name_Hall '-P 2y'
loop_
_atom_site_label
_atom_site_type_symbol
_atom_site_fract_x
_atom_site_fract_y
_atom_site_fract_z
Pr1 Pr 0.060 0.000 0.173
Dy1 Dy 0.000 0.500 0.500
Dy2 Dy 0.228 0.000 0.667
Dy3 Dy 0.257 0.000 0.999
Dy4 Dy 0.276 0.500 0.338
Er1 Er 0.451 0.500 0.843
Er2 Er 0.500 0.000 0.500
```

**Total magnetization**: 0.00 μB per cell



<Q>
Pr2Dy7Er3 | PBE-GGA | optimized geometry

Geometry as CIF:
```
data_Pr2Dy7Er3
_cell_length_a 5.688
_cell_length_b 37.807
_cell_length_c 3.610
_cell_angle_alpha 90.00
_cell_angle_beta 90.00
_cell_angle_gamma 90.00
_space_group_name_H-M_alt 'C m m m'
_space_group_IT_number 65
_space_group_name_Hall '-C 2 2'
loop_
_atom_site_label
_atom_site_type_symbol
_atom_site_fract_x
_atom_site_fract_y
_atom_site_fract_z
Pr1 Pr 0.000 0.147 0.000
Dy1 Dy 0.000 0.000 0.000
Dy2 Dy 0.000 0.070 0.500
Dy3 Dy 0.000 0.231 0.000
Dy4 Dy 0.000 0.411 0.000
Er1 Er 0.000 0.314 0.500
Er2 Er 0.000 0.500 0.500
```

**Total magnetization**: 0.00 μB per cell



Result of the stability comparison: <Q> is the least stable of them.